No. 1
A plane-wave DFT calculation with PBE was carried out for a relaxed structure of HgPtCl6.

Summary:
E_form (uncorrected) = -43 kJ/mol of atoms
E_tot = -21.0 eV for the cell shown
Relative energy among the computed polymorphs = 4 meV per atom
Symmetry = C2/m

Unit cell a=6.495 b=6.543 c=6.533 alpha=59.95 beta=80.13 gamma=69.99
Element x y z (fractional)
Hg: 0.000 0.000 0.000
Pt: 0.500 0.500 0.000
Cl: 0.725 0.423 0.710
Cl: 0.725 0.133 0.290
Cl: 0.275 0.867 0.710
Cl: 0.275 0.577 0.290
Cl: 0.719 0.722 0.000
Cl: 0.281 0.278 0.000

***

No. 2
A plane-wave DFT calculation with PBE was carried out for a relaxed structure of HgPt4Cl.

Summary:
E_form (uncorrected) = 38 kJ/mol of atoms
E_tot = -24.0 eV for the cell shown
Symmetry = F-43m
D(E_F) = 6.18 states/eV/cell

Unit cell a=5.388 b=5.388 c=5.388 alpha=60.00 beta=60.00 gamma=60.00
Element x y z (fractional)
Hg: 0.000 0.000 0.000
Pt: 0.876 0.375 0.375
Pt: 0.375 0.375 0.876
Pt: 0.375 0.876 0.375
Pt: 0.375 0.375 0.375
Cl: 0.750 0.750 0.750

***

No. 3
A plane-wave DFT calculation with PBE was carried out for a relaxed structure of RbHgPtCl6.

Summary:
E_form (uncorrected) = -77 kJ/mol of atoms
E_tot = -25.6 eV for the cell shown
Symmetry = C2

Unit cell a=6.676 b=6.676 c=7.240 alpha=88.12 beta=91.89 gamma=64.46
Element x y z (fractional)
Rb: 0.002 0.002 0.000
Hg: 0.683 0.683 0.500
Pt: 0.333 0.333 0.500
Cl: 0.033 0.347 0.313
Cl: 0.347 0.033 0.687
Cl: 0.618 0.349 0.688
Cl: 0.026 0.609 0.716
Cl: 0.349 0.618 0.312
Cl: 0.609 0.026 0.284

***

No. 4
A plane-wave DFT calculation with PBE was carried out for a relaxed structure of Rb2HgPtCl6.

Summary:
E_form (uncorrected) = -104 kJ/mol of atoms
E_tot = -60.2 eV for the cell shown
Symmetry = Pmmn

Unit cell a=7.556 b=7.560 c=10.618 alpha=90.00 beta=90.00 gamma=90.00
Element x y z (fractional)
Rb: 0.500 0.750 0.250
Rb: 0.000 0.250 0.750
Rb: 0.500 0.750 0.750
Rb: 0.000 0.250 0.250
Hg: 0.000 0.748 0.500
Hg: 0.500 0.252 0.000
Pt: 0.500 0.248 0.500
Pt: 0.000 0.752 0.000
Cl: 0.500 0.248 0.274
Cl: 0.500 0.248 0.726
Cl: 0.000 0.752 0.226
Cl: 0.000 0.752 0.774
Cl: 0.277 0.025 0.500
Cl: 0.723 0.025 0.500
Cl: 0.277 0.471 0.500
Cl: 0.723 0.471 0.500
Cl: 0.777 0.529 0.000
Cl: 0.223 0.529 0.000
Cl: 0.223 0.975 0.000
Cl: 0.777 0.975 0.000

***

No. 5
A plane-wave DFT calculation with PBE was carried out for a relaxed structure of Rb2Hg2PtCl4.

Summary:
E_form (uncorrected) = -95 kJ/mol of atoms
E_tot = -24.9 eV for the cell shown
Symmetry = I4/mmm

Unit cell a=7.234 b=7.234 c=7.234 alpha=98.45 beta=115.25 gamma=115.25
Element x y z (fractional)
Rb: 0.500 0.750 0.250
Rb: 0.500 0.250 0.750
Hg: 0.000 0.673 0.673
Hg: 0.000 0.327 0.327
Pt: 0.000 0.000 0.000
Cl: 0.000 0.786 0.214
Cl: 0.571 0.786 0.786
Cl: 0.000 0.214 0.786
Cl: 0.429 0.214 0.214

***

No. 6
A plane-wave DFT calculation with PBE was carried out for a relaxed structure of HgPtSCl2.

Summary:
E_form (uncorrected) = 89 kJ/mol of atoms
E_tot = -9.6 eV for the cell shown
Relative energy among the computed polymorphs = 855 meV per atom
Symmetry = P4/mmm
D(E_F) = 4.53 states/eV/cell

Unit cell a=5.039 b=5.039 c=5.208 alpha=90.00 beta=90.00 gamma=90.00
Element x y z (fractional)
S: 0.000 0.000 0.500
Hg: 0.000 0.000 0.000
Pt: 0.500 0.500 0.500
Cl: 0.000 0.500 0.000
Cl: 0.500 0.000 0.000

***

No. 7
A plane-wave DFT calculation with PBE was carried out for a relaxed structure of HgPtSCl2.

Summary:
E_form (uncorrected) = 6 kJ/mol of atoms
E_tot = -13.9 eV for the cell shown
Relative energy among the computed polymorphs = 0 meV per atom
Symmetry = P4/mmm
D(E_F) = 4.58 states/eV/cell

Unit cell a=5.014 b=5.014 c=4.621 alpha=90.00 beta=90.00 gamma=90.00
Element x y z (fractional)
S: 0.000 0.000 0.500
Hg: 0.500 0.500 0.500
Pt: 0.000 0.000 0.000
Cl: 0.000 0.500 0.000
Cl: 0.500 0.000 0.000

***

No. 8
A plane-wave DFT calculation with PBE was carried out for a relaxed structure of Tl2HgPtCl6.

Summary:
E_form (uncorrected) = -65 kJ/mol of atoms
E_tot = -57.7 eV for the cell shown
Symmetry = R-3m

Unit cell a=7.064 b=7.064 c=17.647 alpha=78.45 beta=78.45 gamma=60.00
Element x y z (fractional)
Tl: 0.855 0.855 0.434
Tl: 0.145 0.145 0.566
Tl: 0.687 0.687 0.939
Tl: 0.313 0.313 0.061
Hg: 0.591 0.591 0.228
Hg: 0.409 0.409 0.772
Pt: 0.000 0.000 0.000
Pt: 0.500 0.500 0.500
Cl: 0.841 0.368 0.422
Cl: 0.368 0.841 0.422
Cl: 0.368 0.368 0.422
Cl: 0.159 0.632 0.578
Cl: 0.632 0.159 0.578
Cl: 0.632 0.632 0.578
Cl: 0.712 0.184 0.920
Cl: 0.184 0.712 0.920
Cl: 0.184 0.184 0.920
Cl: 0.288 0.816 0.080
Cl: 0.816 0.288 0.080
Cl: 0.816 0.816 0.080

***

No. 9
A plane-wave DFT calculation with PBE was carried out for a relaxed structure of TlHg2PtCl.

Summary:
E_form (uncorrected) = -27 kJ/mol of atoms
E_tot = -12.3 eV for the cell shown
Symmetry = P4/mmm
D(E_F) = 1.76 states/eV/cell

Unit cell a=5.288 b=5.288 c=5.394 alpha=90.00 beta=90.00 gamma=90.00
Element x y z (fractional)
Tl: 0.000 0.000 0.500
Hg: 0.000 0.500 0.000
Hg: 0.500 0.000 0.000
Pt: 0.000 0.000 0.000
Cl: 0.500 0.500 0.500

***

No. 10
A plane-wave DFT calculation with PBE was carried out for a relaxed structure of HgPt2WCl.

Summary:
E_form (uncorrected) = 186 kJ/mol of atoms
E_tot = -17.6 eV for the cell shown
Symmetry = P4/mmm
D(E_F) = 4.88 states/eV/cell

Unit cell a=5.099 b=4.772 c=5.099 alpha=90.00 beta=90.00 gamma=90.00
Element x y z (fractional)
W: 0.500 0.500 0.500
Hg: 0.000 0.000 0.000
Pt: 0.000 0.000 0.500
Pt: 0.500 0.000 0.000
Cl: 0.000 0.500 0.000

***

No. 11
A plane-wave DFT calculation with PBE was carried out for a relaxed structure of YHgPtCl2.

Summary:
E_form (uncorrected) = -30 kJ/mol of atoms
E_tot = -18.1 eV for the cell shown
Symmetry = P4/mmm
D(E_F) = 5.47 states/eV/cell

Unit cell a=5.020 b=6.431 c=5.020 alpha=90.00 beta=90.00 gamma=90.00
Element x y z (fractional)
Y: 0.000 0.000 0.000
Hg: 0.000 0.500 0.000
Pt: 0.500 0.500 0.500
Cl: 0.000 0.000 0.500
Cl: 0.500 0.000 0.000

***

No. 12
A plane-wave DFT calculation with PBE was carried out for a relaxed structure of PuHg2Cl8.

Summary:
E_form (uncorrected) = -101 kJ/mol of atoms
E_tot = -41.2 eV for the cell shown
Relative energy among the computed polymorphs = 0 meV per atom
Symmetry = P-1
D(E_F) = 5.20 states/eV/cell

Unit cell a=7.776 b=7.550 c=7.108 alpha=58.99 beta=97.73 gamma=102.49
Element x y z (fractional)
Pu: 0.000 0.000 0.000
Hg: 0.341 0.789 0.712
Hg: 0.659 0.211 0.288
Cl: 0.022 0.807 0.420
Cl: 0.285 0.253 0.974
Cl: 0.978 0.193 0.580
Cl: 0.479 0.228 0.521
Cl: 0.715 0.747 0.026
Cl: 0.184 0.716 0.021
Cl: 0.816 0.284 0.979
Cl: 0.521 0.772 0.479

***

No. 13
A plane-wave DFT calculation with PBE was carried out for a relaxed structure of PuHgCl3.

Summary:
E_form (uncorrected) = -146 kJ/mol of atoms
E_tot = -55.5 eV for the cell shown
Relative energy among the computed polymorphs = 0 meV per atom
Symmetry = R-3
D(E_F) = 19.34 states/eV/cell

Unit cell a=7.135 b=7.135 c=10.666 alpha=70.46 beta=70.46 gamma=60.00
Element x y z (fractional)
Pu: 0.667 0.667 0.999
Pu: 0.333 0.333 0.001
Hg: 0.839 0.839 0.484
Hg: 0.161 0.161 0.516
Cl: 0.319 0.581 0.152
Cl: 0.948 0.319 0.152
Cl: 0.581 0.948 0.152
Cl: 0.419 0.052 0.848
Cl: 0.052 0.681 0.848
Cl: 0.681 0.419 0.848

***

No. 14
A plane-wave DFT calculation with PBE was carried out for a relaxed structure of PuHgCl6.

Summary:
E_form (uncorrected) = -117 kJ/mol of atoms
E_tot = -35.4 eV for the cell shown
Relative energy among the computed polymorphs = 4 meV per atom
Symmetry = R-3
D(E_F) = 8.30 states/eV/cell

Unit cell a=6.642 b=6.642 c=7.220 alpha=62.61 beta=62.61 gamma=59.99
Element x y z (fractional)
Pu: 0.500 0.500 0.500
Hg: 0.000 0.000 0.000
Cl: 0.100 0.413 0.746
Cl: 0.741 0.100 0.746
Cl: 0.587 0.259 0.254
Cl: 0.259 0.900 0.254
Cl: 0.900 0.587 0.254
Cl: 0.413 0.741 0.746

***

No. 15
A plane-wave DFT calculation with PBE was carried out for a relaxed structure of PuHg2Cl4.

Summary:
E_form (uncorrected) = -109 kJ/mol of atoms
E_tot = -30.3 eV for the cell shown
Symmetry = I4/mmm
D(E_F) = 12.39 states/eV/cell

Unit cell a=5.309 b=5.309 c=12.129 alpha=77.36 beta=77.36 gamma=90.00
Element x y z (fractional)
Cl: 0.890 0.890 0.219
Cl: 0.110 0.110 0.781
Cl: 0.000 0.500 0.000
Cl: 0.500 0.000 0.000
Hg: 0.746 0.746 0.507
Hg: 0.254 0.254 0.493
Pu: 0.000 0.000 0.000

***

No. 16
A plane-wave DFT calculation with PBE was carried out for a relaxed structure of PuHgCl3.

Summary:
E_form (uncorrected) = -139 kJ/mol of atoms
E_tot = -27.4 eV for the cell shown
Relative energy among the computed polymorphs = 74 meV per atom
Symmetry = Pm-3m
D(E_F) = 13.73 states/eV/cell

Unit cell a=5.454 b=5.454 c=5.454 alpha=90.00 beta=90.00 gamma=90.00
Element x y z (fractional)
Cl: 0.000 0.500 0.000
Cl: 0.000 0.000 0.500
Cl: 0.500 0.000 0.000
Hg: 0.500 0.500 0.500
Pu: 0.000 0.000 0.000

***

No. 17
A plane-wave DFT calculation with PBE was carried out for a relaxed structure of PuHg2Cl8.

Summary:
E_form (uncorrected) = -98 kJ/mol of atoms
E_tot = -40.8 eV for the cell shown
Relative energy among the computed polymorphs = 32 meV per atom
Symmetry = C2/m
D(E_F) = 7.45 states/eV/cell

Unit cell a=6.583 b=7.619 c=7.619 alpha=90.49 beta=86.09 gamma=86.09
Element x y z (fractional)
Pu: 0.000 0.000 0.000
Hg: 0.520 0.300 0.300
Hg: 0.480 0.700 0.700
Cl: 0.242 0.061 0.733
Cl: 0.242 0.733 0.061
Cl: 0.758 0.939 0.267
Cl: 0.228 0.562 0.562
Cl: 0.758 0.267 0.939
Cl: 0.200 0.212 0.212
Cl: 0.800 0.788 0.788
Cl: 0.772 0.438 0.438

***

No. 18
A plane-wave DFT calculation with PBE was carried out for a relaxed structure of PuHgCl6.

Summary:
E_form (uncorrected) = -117 kJ/mol of atoms
E_tot = -35.4 eV for the cell shown
Relative energy among the computed polymorphs = 0 meV per atom
Symmetry = C2/m
D(E_F) = 4.62 states/eV/cell

Unit cell a=6.990 b=6.990 c=6.716 alpha=99.51 beta=99.51 gamma=122.51
Element x y z (fractional)
Pu: 0.500 0.500 0.500
Hg: 0.000 0.000 0.000
Cl: 0.602 0.899 0.752
Cl: 0.899 0.602 0.752
Cl: 0.101 0.398 0.248
Cl: 0.398 0.101 0.248
Cl: 0.268 0.268 0.730
Cl: 0.732 0.732 0.270

***

No. 19
A plane-wave DFT calculation with PBE was carried out for a relaxed structure of Rb2PuHgCl6.

Summary:
E_form (uncorrected) = -160 kJ/mol of atoms
E_tot = -44.2 eV for the cell shown
Symmetry = R3
D(E_F) = 2.54 states/eV/cell

Unit cell a=8.662 b=8.662 c=8.662 alpha=55.79 beta=55.79 gamma=55.79
Element x y z (fractional)
Rb: 0.210 0.210 0.210
Rb: 0.687 0.687 0.687
Pu: 0.012 0.012 0.012
Hg: 0.503 0.503 0.503
Cl: 0.345 0.077 0.830
Cl: 0.077 0.830 0.345
Cl: 0.943 0.214 0.679
Cl: 0.679 0.943 0.214
Cl: 0.830 0.345 0.077
Cl: 0.214 0.679 0.943

***

No. 20
A plane-wave DFT calculation with PBE was carried out for a relaxed structure of RbPuHgCl6.

Summary:
E_form (uncorrected) = -144 kJ/mol of atoms
E_tot = -80.1 eV for the cell shown
Symmetry = P-31c
D(E_F) = 21.02 states/eV/cell

Unit cell a=7.203 b=7.203 c=14.175 alpha=90.00 beta=90.00 gamma=120.00
Element x y z (fractional)
Rb: 0.000 0.000 0.000
Rb: 0.000 0.000 0.500
Pu: 0.333 0.667 0.250
Pu: 0.667 0.333 0.750
Hg: 0.667 0.333 0.250
Hg: 0.333 0.667 0.750
Cl: 0.624 0.625 0.142
Cl: 0.001 0.376 0.142
Cl: 0.376 0.001 0.642
Cl: 0.999 0.624 0.858
Cl: 0.375 0.376 0.358
Cl: 0.001 0.625 0.358
Cl: 0.625 0.001 0.858
Cl: 0.624 0.999 0.358
Cl: 0.999 0.375 0.642
Cl: 0.375 0.999 0.142
Cl: 0.625 0.624 0.642
Cl: 0.376 0.375 0.858

***

No. 21
A plane-wave DFT calculation with PBE was carried out for a relaxed structure of RbPu2HgCl8.

Summary:
E_form (uncorrected) = -159 kJ/mol of atoms
E_tot = -64.5 eV for the cell shown
Symmetry = P-1
D(E_F) = 16.42 states/eV/cell

Unit cell a=8.033 b=6.758 c=8.320 alpha=89.58 beta=89.66 gamma=89.29
Element x y z (fractional)
Rb: 0.000 0.000 0.500
Pu: 0.500 0.499 0.750
Pu: 0.500 0.501 0.250
Hg: 0.000 0.000 0.000
Cl: 0.219 0.684 0.259
Cl: 0.602 0.727 0.997
Cl: 0.782 0.317 0.257
Cl: 0.781 0.316 0.741
Cl: 0.398 0.273 0.003
Cl: 0.218 0.683 0.743
Cl: 0.609 0.731 0.499
Cl: 0.391 0.269 0.501

***

No. 22
A plane-wave DFT calculation with PBE was carried out for a relaxed structure of PuHg3Se2Cl6.

Summary:
E_form (uncorrected) = -89 kJ/mol of atoms
E_tot = -44.4 eV for the cell shown
Symmetry = C2/m
D(E_F) = 4.13 states/eV/cell

Unit cell a=6.880 b=7.665 c=8.882 alpha=115.56 beta=115.39 gamma=90.00
Element x y z (fractional)
Pu: 0.500 0.000 0.000
Hg: 0.000 0.500 0.000
Hg: 0.500 0.500 0.500
Hg: 0.500 0.000 0.500
Se: 0.215 0.682 0.364
Se: 0.785 0.318 0.636
Cl: 0.744 0.356 0.225
Cl: 0.256 0.644 0.775
Cl: 0.741 0.912 0.823
Cl: 0.259 0.088 0.177
Cl: 0.256 0.131 0.775
Cl: 0.744 0.869 0.225

***

No. 23
A plane-wave DFT calculation with PBE was carried out for a relaxed structure of PuSnHgCl6.

Summary:
E_form (uncorrected) = -122 kJ/mol of atoms
E_tot = -41.1 eV for the cell shown
Symmetry = P312
D(E_F) = 3.00 states/eV/cell

Unit cell a=7.251 b=7.251 c=8.518 alpha=90.00 beta=90.00 gamma=59.99
Element x y z (fractional)
Pu: 0.333 0.333 0.500
Sn: 0.667 0.667 0.500
Hg: 0.000 0.000 0.000
Cl: 0.022 0.359 0.327
Cl: 0.359 0.022 0.673
Cl: 0.619 0.359 0.673
Cl: 0.022 0.619 0.673
Cl: 0.359 0.619 0.327
Cl: 0.619 0.022 0.327